TcNiOs | PBE | relaxed

Properties
As for the energy of formation: 401.7 meV/atom. The total magnetization is 0.0 Bohr magnetons per cell. Its space group is No. 42. For the offset from the most stable computed form, the calculation gives 383 meV/atom.

Unit cell a=6.9949 b=6.7750 c=2.6334 alpha=83.71 beta=74.31 gamma=21.98
Closest atoms and distances in Å follow each position.
Positions (direct):
Ni1 0.0002 0.0002 0.9998  2 Tc 2.59, 2 Os 2.60, 6 Ni 2.63-2.80
Os1 0.3352 0.3352 0.6648  2 Ni 2.60, 6 Os 2.63-2.80, 2 Tc 2.66
Tc1 0.6646 0.6646 0.3354  2 Ni 2.59, 6 Tc 2.63-2.80, 2 Os 2.66